Below is a relaxed In2MoIrRu crystal, with properties calculated at the GGA-PBE level.

Summary:
Total DFT energy (no corrections), eV per atom: -5.2586

CIF file:
```
data_In2MoIrRu
_cell_length_a 5.122
_cell_length_b 5.122
_cell_length_c 4.519
_cell_angle_alpha 90.00
_cell_angle_beta 90.00
_cell_angle_gamma 90.00
_space_group_name_H-M_alt 'P 4/m m m'
_space_group_IT_number 123
_space_group_name_Hall '-P 4 2'
loop_
_atom_site_label
_atom_site_type_symbol
_atom_site_fract_x
_atom_site_fract_y
_atom_site_fract_z
In1 In 0.000 0.500 0.000
Mo1 Mo 0.000 0.000 0.000
Ir1 Ir 0.500 0.500 0.500
Ru1 Ru 0.000 0.000 0.500
```



Below is a relaxed Ba8HgIr2 crystal, with properties calculated at the GGA-PBE level.

Summary:
Total DFT energy (no corrections), eV per atom: -3.0546

CIF file:
```
data_Ba8HgIr2
_cell_length_a 10.2890
_cell_length_b 10.2890
_cell_length_c 6.5527
_cell_angle_alpha 90.00
_cell_angle_beta 90.00
_cell_angle_gamma 120.00
_space_group_name_H-M_alt 'P -3'
_space_group_IT_number 147
loop_
_space_group_symop_operation_xyz
'x,y,z'
'-x,-y,-z'
'-y,x-y,z'
'y,-x+y,-z'
'-x+y,-x,z'
'x-y,x,-z'
loop_
_atom_site_label
_atom_site_type_symbol
_atom_site_fract_x
_atom_site_fract_y
_atom_site_fract_z
Ba1 Ba 0.1706 0.3425 0.2462
Ba2 Ba 0.3333 0.6667 0.7493
Hg1 Hg 0.0000 0.0000 0.5000
Ir1 Ir 0.3333 0.6667 0.2658
```



Below is a relaxed Sc4GeTe3 crystal, with properties calculated at the GGA-PBE level.

Summary:
E_form (uncorrected), eV per atom: -1.10

CIF file:
```
data_Sc4GeTe3
_cell_length_a 8.277
_cell_length_b 11.643
_cell_length_c 4.081
_cell_angle_alpha 90.00
_cell_angle_beta 90.00
_cell_angle_gamma 90.00
_space_group_name_H-M_alt 'C m m m'
_space_group_IT_number 65
_space_group_name_Hall '-C 2 2'
loop_
_atom_site_label
_atom_site_type_symbol
_atom_site_fract_x
_atom_site_fract_y
_atom_site_fract_z
Sc1 Sc 0.000 0.231 0.000
Sc2 Sc 0.221 0.000 0.500
Ge1 Ge 0.000 0.000 0.000
Te1 Te 0.000 0.500 0.000
Te2 Te 0.250 0.250 0.500
```



Below is a relaxed Be2TeRh crystal, with properties calculated at the GGA-PBE level.

Summary:
E_form (uncorrected), eV per atom: 0.01

CIF file:
```
data_Be2TeRh
_cell_length_a 2.898
_cell_length_b 3.649
_cell_length_c 11.814
_cell_angle_alpha 90.00
_cell_angle_beta 90.00
_cell_angle_gamma 90.00
_space_group_name_H-M_alt 'I m m 2'
_space_group_IT_number 44
loop_
_space_group_symop_operation_xyz
'x,y,z'
'-x,-y,z'
'-x,y,z'
'x,-y,z'
'x+1/2,y+1/2,z+1/2'
'-x+1/2,-y+1/2,z+1/2'
'-x+1/2,y+1/2,z+1/2'
'x+1/2,-y+1/2,z+1/2'
loop_
_atom_site_label
_atom_site_type_symbol
_atom_site_fract_x
_atom_site_fract_y
_atom_site_fract_z
Be1 Be 0.000 0.000 0.000
Be2 Be 0.000 0.500 0.130
Te1 Te 0.000 0.000 0.359
Rh1 Rh 0.000 0.500 0.654
```



Below is a relaxed K2RbLiSe crystal, with properties calculated at the GGA-PBE level.

Summary:
E_form (uncorrected), eV per atom: -0.52

CIF file:
```
data_K2RbLiSe
_cell_length_a 6.788
_cell_length_b 6.788
_cell_length_c 5.078
_cell_angle_alpha 90.00
_cell_angle_beta 90.00
_cell_angle_gamma 90.00
_space_group_name_H-M_alt 'P 4/m m m'
_space_group_IT_number 123
_space_group_name_Hall '-P 4 2'
loop_
_atom_site_label
_atom_site_type_symbol
_atom_site_fract_x
_atom_site_fract_y
_atom_site_fract_z
K1 K 0.000 0.500 0.000
Rb1 Rb 0.000 0.000 0.500
Li1 Li 0.500 0.500 0.500
Se1 Se 0.500 0.500 0.000
```



Below is a relaxed In6Hg4Te crystal, with properties calculated at the GGA-PBE level.

Summary:
E_form (uncorrected), eV per atom: -0.03

CIF file:
```
data_In6Hg4Te
_cell_length_a 4.218
_cell_length_b 12.409
_cell_length_c 24.000
_cell_angle_alpha 90.00
_cell_angle_beta 90.00
_cell_angle_gamma 90.00
_space_group_name_H-M_alt 'C m c m'
_space_group_IT_number 63
_space_group_name_Hall '-C 2c 2'
loop_
_atom_site_label
_atom_site_type_symbol
_atom_site_fract_x
_atom_site_fract_y
_atom_site_fract_z
In1 In 0.000 0.000 0.000
In2 In 0.000 0.047 0.250
In3 In 0.000 0.283 0.611
In4 In 0.000 0.384 0.178
Hg1 Hg 0.000 0.039 0.121
Hg2 Hg 0.000 0.331 0.033
Te1 Te 0.000 0.268 0.750
```



Below is a relaxed ZnPt2 crystal, with properties calculated at the GGA-PBE level.

Summary:
Total DFT energy (no corrections), eV per atom: -4.5132

CIF file:
```
data_ZnPt2
_cell_length_a 4.066
_cell_length_b 4.066
_cell_length_c 3.081
_cell_angle_alpha 90.00
_cell_angle_beta 90.00
_cell_angle_gamma 90.00
_space_group_name_H-M_alt 'P 4/m m m'
_space_group_IT_number 123
_space_group_name_Hall '-P 4 2'
loop_
_atom_site_label
_atom_site_type_symbol
_atom_site_fract_x
_atom_site_fract_y
_atom_site_fract_z
Zn1 Zn 0.000 0.000 0.000
Pt1 Pt 0.000 0.500 0.500
```



Below is a relaxed MgCuAgGe2 crystal, with properties calculated at the GGA-PBE level.

Summary:
Total DFT energy (no corrections), eV per atom: -2.7299

CIF file:
```
data_MgCuAgGe2
_cell_length_a 4.949
_cell_length_b 4.949
_cell_length_c 4.709
_cell_angle_alpha 90.00
_cell_angle_beta 90.00
_cell_angle_gamma 90.00
_space_group_name_H-M_alt 'P 4/m m m'
_space_group_IT_number 123
_space_group_name_Hall '-P 4 2'
loop_
_atom_site_label
_atom_site_type_symbol
_atom_site_fract_x
_atom_site_fract_y
_atom_site_fract_z
Mg1 Mg 0.000 0.000 0.000
Cu1 Cu 0.000 0.000 0.500
Ag1 Ag 0.500 0.500 0.500
Ge1 Ge 0.000 0.500 0.000
```